Record 1
# CaTb3Pm

An optimized crystal structure of CaTb3Pm (PBE, Alexandria via LeMat-Bulk).

Values from the calculation:
V = 38.3 Å³ per atom
space-group type = Cmcm
magnetic moment = 0.00 μB per cell
density of states at the Fermi level = 16.3 states/eV/cell
final energy = -3.79 eV/atom

Cell lengths 9.5030, 9.5030, 6.3986 Å; angles 90.00, 90.00, 138.45 degrees
Closest atoms and distances in Å follow each position.
Sites, in units of the cell vectors:
Ca  0.1881  0.8119  0.7500  8 Tb 3.61-3.77
Ca  0.8119  0.1881  0.2500  8 Tb 3.61-3.77
Tb  0.0000  0.0000  0.0000  6 Tb 3.20-3.31
Tb  0.0000  0.0000  0.5000  6 Tb 3.20-3.31
Tb  0.1253  0.3874  0.7500  4 Tb 3.28-3.46, 1 Ca 3.61
Tb  0.3874  0.1253  0.2500  4 Tb 3.28-3.46, 1 Ca 3.61
Tb  0.6126  0.8747  0.7500  4 Tb 3.28-3.46, 1 Ca 3.61
Tb  0.8747  0.6126  0.2500  4 Tb 3.28-3.46, 1 Ca 3.61
Pm  0.4454  0.5546  0.2500  10 Tb 3.68-3.86, 2 Pm 3.74, 2 Ca 4.12
Pm  0.5546  0.4454  0.7500  10 Tb 3.68-3.86, 2 Pm 3.74, 2 Ca 4.12

***

Record 2
# Sr3Ag8Hg3

An optimized crystal structure of Sr3Ag8Hg3 (PBE, Alexandria via LeMat-Bulk).

Values from the calculation:
V = 24.4 Å³ per atom
space-group type = C2/m
magnetic moment = 0.00 μB per cell
density of states at the Fermi level = 5.2 states/eV/cell
final energy = -2.30 eV/atom

Cell lengths 8.9770, 8.9770, 10.1336 Å; angles 124.10, 124.10, 31.02 degrees
Closest atoms and distances in Å follow each position.
Sites, in units of the cell vectors:
Sr  0.0000  0.0000  0.0000  4 Ag 3.27-3.30, 4 Hg 3.66
Sr  0.3099  0.3099  0.3122  9 Ag 3.37-3.50, 5 Hg 3.37-3.76
Sr  0.6901  0.6901  0.6878  9 Ag 3.37-3.50, 5 Hg 3.37-3.76
Ag  0.1219  0.1219  0.3963  5 Ag 2.82-2.94, 1 Hg 2.85
Ag  0.1240  0.1240  0.8470  4 Hg 2.86-3.00, 2 Ag 2.98
Ag  0.3188  0.3188  0.6665  4 Ag 2.82-2.87, 1 Hg 2.88
Ag  0.4984  0.4984  0.7138  5 Ag 2.85-2.98, 1 Hg 2.91
Ag  0.5016  0.5016  0.2862  5 Ag 2.85-2.98, 1 Hg 2.91
Ag  0.6812  0.6812  0.3335  4 Ag 2.82-2.87, 1 Hg 2.88
Ag  0.8760  0.8760  0.1530  4 Hg 2.86-3.00, 2 Ag 2.98
Ag  0.8781  0.8781  0.6037  5 Ag 2.82-2.94, 1 Hg 2.85
Hg  0.0000  0.0000  0.5000  4 Ag 2.85-2.86
Hg  0.3272  0.3272  0.9587  5 Ag 2.88-3.00
Hg  0.6728  0.6728  0.0413  5 Ag 2.88-3.00

***

Record 3
# Li3CaW

An optimized crystal structure of Li3CaW (PBE, Alexandria via LeMat-Bulk).

Values from the calculation:
V = 26.0 Å³ per atom
energy above the lowest structure with this stoichiometry = 0 kJ/mol of formula units
space-group type = Pm-3m
magnetic moment = 3.98 μB per cell
density of states at the Fermi level = 2.8 states/eV/cell

Cell lengths 5.0674, 5.0674, 5.0674 Å; angles 90.00, 90.00, 90.00 degrees
Closest atoms and distances in Å follow each position.
Sites, in units of the cell vectors:
Li  0.0000  0.0000  0.5000  2 W 2.53
Li  0.0000  0.5000  0.0000  2 W 2.53
Li  0.5000  0.0000  0.0000  2 W 2.53
Ca  0.5000  0.5000  0.5000  12 Li 3.58
W  0.0000  0.0000  0.0000  6 Li 2.53

***

Record 4
# Pu3Pd2

An optimized crystal structure of Pu3Pd2 (PBE, Alexandria via LeMat-Bulk).

Values from the calculation:
V = 22.5 Å³ per atom
energy above the lowest structure with this stoichiometry = 0 kJ/mol of formula units
space-group type = C2/m
magnetic moment = 17.59 μB per cell
density of states at the Fermi level = 21.8 states/eV/cell

Cell lengths 4.9400, 4.9400, 5.8013 Å; angles 111.85, 111.85, 61.81 degrees
Closest atoms and distances in Å follow each position.
Sites, in units of the cell vectors:
Pu  0.0000  0.0000  0.0000  6 Pd 3.10-3.12, 4 Pu 3.31-3.37
Pu  0.2172  0.2172  0.6435  4 Pd 2.95-3.05, 2 Pu 3.21
Pu  0.7828  0.7828  0.3565  4 Pd 2.95-3.05, 2 Pu 3.21
Pd  0.4058  0.4058  0.2270  1 Pd 2.86, 7 Pu 2.95-3.12
Pd  0.5942  0.5942  0.7730  1 Pd 2.86, 7 Pu 2.95-3.12

***

Record 5
# Pm3SI7

An optimized crystal structure of Pm3SI7 (PBE, Alexandria via LeMat-Bulk).

Values from the calculation:
V = 47.7 Å³ per atom
space-group type = P3m1
formation energy (no corrections) = -144 kJ per mole of atoms
magnetic moment = 0.00 μB per cell
density of states at the Fermi level = 0.0 states/eV/cell

Cell lengths 8.8739, 8.8739, 7.6948 Å; angles 90.00, 90.00, 120.00 degrees
Closest atoms and distances in Å follow each position.
Sites, in units of the cell vectors:
Pm  0.0187  0.5094  0.0000  1 S 2.71
Pm  0.4906  0.5094  0.0000  1 S 2.71
Pm  0.4906  0.9813  0.0000  1 S 2.71
S  0.3333  0.6667  0.1595  3 Pm 2.71
I  0.1669  0.3337  0.7557  2 Pm 3.12
I  0.1669  0.8331  0.7557  2 Pm 3.12
I  0.3391  0.1695  0.2232  2 Pm 3.13
I  0.6663  0.8331  0.7557  2 Pm 3.12
I  0.6667  0.3333  0.7579  3 Pm 3.28
I  0.8305  0.1695  0.2232  2 Pm 3.13
I  0.8305  0.6609  0.2232  2 Pm 3.13

***

Record 6
# MnFeAu2

An optimized crystal structure of MnFeAu2 (PBE, Alexandria via LeMat-Bulk).

Values from the calculation:
V = 15.8 Å³ per atom
space-group type = Pmm2
magnetic moment = 6.84 μB per cell
density of states at the Fermi level = 4.0 states/eV/cell
final energy = -5.94 eV/atom

Cell lengths 2.8779, 4.5715, 4.7909 Å; angles 90.00, 90.00, 90.00 degrees
Closest atoms and distances in Å follow each position.
Sites, in units of the cell vectors:
Mn  0.0000  0.0000  0.0000  8 Au 2.76-2.83, 2 Mn 2.88, 2 Fe 2.88
Fe  0.0000  0.5000  0.3650  8 Au 2.77-2.81, 2 Fe 2.88, 2 Mn 2.88
Au  0.5000  0.0000  0.4917  4 Mn 2.76-2.83, 4 Fe 2.77, 4 Au 2.88-2.92
Au  0.5000  0.5000  0.8693  4 Mn 2.77, 4 Fe 2.78-2.81, 4 Au 2.88-2.92

***

Record 7
# HgIr3S

An optimized crystal structure of HgIr3S (PBE, Alexandria via LeMat-Bulk).

Values from the calculation:
V = 17.5 Å³ per atom
energy above the lowest structure with this stoichiometry = 0 kJ/mol of formula units
space-group type = Pm-3m
formation energy (no corrections) = 75 kJ per mole of atoms
magnetic moment = 0.00 μB per cell
density of states at the Fermi level = 5.1 states/eV/cell

Cell lengths 4.4425, 4.4425, 4.4425 Å; angles 90.00, 90.00, 90.00 degrees
Closest atoms and distances in Å follow each position.
Sites, in units of the cell vectors:
Hg  0.0000  0.0000  0.0000  12 Ir 3.14
Ir  0.0000  0.5000  0.5000  2 S 2.22
Ir  0.5000  0.0000  0.5000  2 S 2.22
Ir  0.5000  0.5000  0.0000  2 S 2.22
S  0.5000  0.5000  0.5000  6 Ir 2.22

***

Record 8
# PAuC2

An optimized crystal structure of PAuC2 (PBE, Alexandria via LeMat-Bulk).

Values from the calculation:
V = 13.8 Å³ per atom
space-group type = Cm
magnetic moment = 0.00 μB per cell
density of states at the Fermi level = 0.9 states/eV/cell
final energy = -6.09 eV/atom

Cell lengths 4.0984, 4.0984, 5.8492 Å; angles 119.43, 119.43, 41.34 degrees
Closest atoms and distances in Å follow each position.
Sites, in units of the cell vectors:
P  0.0000  0.0000  0.0000  3 C 1.79-1.87
Au  0.1183  0.1183  0.4688  2 C 2.22, 1 P 2.39
C  0.5875  0.5875  0.9093  1 C 1.41
C  0.7141  0.7141  0.8009  1 C 1.41